Computed, not measured: a geometry-optimized K12Na5Au2 structure at the PBE level of DFT.

Lattice parameters (Å, degrees): 10.325 10.946 10.289 93.02 90.00 118.14
Fractional positions:
1 Au 0.295 0.000 0.000
2 Au 0.705 0.000 0.000
3 K 0.428 0.294 0.422
4 K 0.351 0.316 0.871
5 K 0.965 0.316 0.871
6 K 0.867 0.294 0.422
7 K 0.049 0.097 0.161
8 K 0.530 0.060 0.737
9 K 0.572 0.706 0.578
10 K 0.133 0.706 0.578
11 K 0.035 0.684 0.129
12 K 0.470 0.940 0.263
13 K 0.649 0.684 0.129
14 K 0.951 0.903 0.839
15 Na 0.380 0.761 0.931
16 Na 0.254 0.507 0.245
17 Na 0.620 0.239 0.069
18 Na 0.000 0.000 0.500
19 Na 0.746 0.493 0.755

***

Computed, not measured: a geometry-optimized Ca2HfNpAs4 structure at the PBE level of DFT.

Lattice parameters (Å, degrees): 4.065 7.009 7.201 108.82 90.00 90.00
Fractional positions:
1 As 0.000 0.752 0.228
2 As 0.000 0.248 0.772
3 As 0.500 0.234 0.225
4 As 0.500 0.766 0.775
5 Np 0.500 0.500 0.000
6 Hf 0.000 0.000 0.000
7 Ca 0.000 0.500 0.500
8 Ca 0.500 0.000 0.500

***

Computed, not measured: a geometry-optimized BaLaAs2 structure at the PBE level of DFT.

Calculated values
**Distance to the lowest polymorph of the same formula**: 141 meV/atom

Lattice parameters (Å, degrees): 3.840 3.840 8.145 90.00 90.00 98.15
Fractional positions:
1 Ba 0.500 0.500 0.250
2 As 0.000 0.000 0.976
3 As 0.000 0.000 0.524
4 La 0.500 0.500 0.750

***

Computed, not measured: a geometry-optimized ReSb3 structure at the PBE level of DFT.

Calculated values
**Distance to the lowest polymorph of the same formula**: 84 meV/atom
**Formation energy from raw total energies**: 0.39 eV per atom

Lattice parameters (Å, degrees): 8.783 8.783 3.295 90.00 90.00 120.00
Fractional positions:
1 Sb 0.807 0.193 0.250
2 Sb 0.386 0.193 0.250
3 Sb 0.807 0.614 0.250
4 Sb 0.614 0.807 0.750
5 Sb 0.193 0.386 0.750
6 Sb 0.193 0.807 0.750
7 Re 0.667 0.333 0.750
8 Re 0.333 0.667 0.250

***

Calculated final energy in order - -0.1032; -0.4928; -0.3725; -0.4274 Ry/atom